Below is an optimized crystal structure of KUVSe4, with properties calculated at the PBE level.

a = 8.254 Å, b = 9.160 Å, c = 10.418 Å
α = 90.00°, β = 90.00°, γ = 90.00°
Space group Imma (No. 74)
One atom of each set of equivalent atoms:
K (0.000, 0.250, 0.180) [4 per cell]
U (0.000, 0.000, 0.500) [4 per cell]
V (0.250, 0.250, 0.750) [4 per cell]
Se (0.000, 0.072, 0.761) [8 per cell]
Se (0.210, 0.250, 0.500) [8 per cell]

Values from the calculation:
Formation energy (no corrections)   -952.1 meV per atom
Total energy   -42.107 eV/f.u.
Magnetic moment   0.571 μB/atom

***

Below is an optimized crystal structure of K4U3VSe8, with properties calculated at the PBE level.

a = 8.2448 Å, b = 8.2448 Å, c = 23.2857 Å
α = 90.00°, β = 90.00°, γ = 120.00°
Space group R-3m (No. 166, hexagonal axes)
One atom of each set of equivalent atoms:
K (0.0000, 0.0000, 0.0000) [3 per cell]
K (0.0000, 0.5000, 0.0000) [9 per cell]
U (0.0000, 0.5000, 0.5000) [9 per cell]
V (0.0000, 0.0000, 0.5000) [3 per cell]
Se (0.0000, 0.0000, 0.2375) [6 per cell]
Se (0.0144, 0.5072, 0.2337) [18 per cell]

Values from the calculation:
Formation energy (no corrections)   -1154.3 meV per atom
Total energy   -93.718 eV/f.u.
Magnetic moment   0.688 μB/atom

***

Below is an optimized crystal structure of K2UVSe5, with properties calculated at the PBE level.

a = 4.212 Å, b = 19.276 Å, c = 13.911 Å
α = 90.00°, β = 90.00°, γ = 90.00°
Space group Cmc2_1 (No. 36)
One atom of each set of equivalent atoms:
K (0.000, 0.123, 0.000) [4 per cell]
K (0.000, 0.129, 0.346) [4 per cell]
U (0.000, 0.197, 0.688) [4 per cell]
V (0.000, 0.433, 0.085) [4 per cell]
Se (0.000, 0.045, 0.673) [4 per cell]
Se (0.000, 0.310, 0.047) [4 per cell]
Se (0.000, 0.312, 0.319) [4 per cell]
Se (0.000, 0.332, 0.673) [4 per cell]
Se (0.000, 0.491, 0.944) [4 per cell]

Values from the calculation:
Formation energy (no corrections)   -1033.8 meV per atom
Total energy   -49.329 eV/f.u.
Magnetic moment   0.333 μB/atom

***

Below is an optimized crystal structure of KUVSe3, with properties calculated at the PBE level.

a = 9.427 Å, b = 3.868 Å, c = 9.709 Å
α = 90.00°, β = 111.72°, γ = 90.00°
Space group P2_1/m (No. 11)
One atom of each set of equivalent atoms:
K (0.205, 0.250, 0.235) [2 per cell]
U (0.322, 0.750, 0.841) [2 per cell]
V (0.071, 0.250, 0.589) [2 per cell]
Se (0.107, 0.250, 0.856) [2 per cell]
Se (0.212, 0.750, 0.521) [2 per cell]
Se (0.454, 0.750, 0.159) [2 per cell]

Values from the calculation:
Formation energy (no corrections)   -988.2 meV per atom
Total energy   -37.887 eV/f.u.
Magnetic moment   0.429 μB/atom

***

Below is an optimized crystal structure of K4YU3Se8, with properties calculated at the PBE level.

a = 8.4315 Å, b = 8.4315 Å, c = 23.2259 Å
α = 90.00°, β = 90.00°, γ = 120.00°
Space group R-3m (No. 166, hexagonal axes)
One atom of each set of equivalent atoms:
K (0.0000, 0.0000, 0.0000) [3 per cell]
K (0.0000, 0.5000, 0.0000) [9 per cell]
Y (0.0000, 0.0000, 0.5000) [3 per cell]
U (0.0000, 0.5000, 0.5000) [9 per cell]
Se (0.0000, 0.0000, 0.2362) [6 per cell]
Se (0.0016, 0.5008, 0.2360) [18 per cell]

Values from the calculation:
Formation energy (no corrections)   -1357.4 meV per atom
Total energy   -94.313 eV/f.u.
Magnetic moment   0.563 μB/atom

***

Below is an optimized crystal structure of K2YUSe6, with properties calculated at the PBE level.

a = 7.698 Å, b = 7.716 Å, c = 13.362 Å
α = 90.00°, β = 125.14°, γ = 90.00°
Space group P2_1/c (No. 14)
One atom of each set of equivalent atoms:
K (0.247, 0.015, 0.250) [4 per cell]
Y (0.500, 0.000, 0.000) [2 per cell]
U (0.000, 0.000, 0.500) [2 per cell]
Se (0.205, 0.233, 0.986) [4 per cell]
Se (0.253, 0.720, 0.986) [4 per cell]
Se (0.271, 0.003, 0.744) [4 per cell]

Values from the calculation:
Formation energy (no corrections)   -1206.9 meV per atom
Total energy   -52.924 eV/f.u.
Magnetic moment   0.000 μB/atom

***

Below is an optimized crystal structure of K3YU2Se6, with properties calculated at the PBE level.

a = 7.306 Å, b = 12.654 Å, c = 8.105 Å
α = 90.00°, β = 107.49°, γ = 90.00°
Space group C2/m (No. 12)
One atom of each set of equivalent atoms:
K (0.000, 0.000, 0.000) [2 per cell]
K (0.000, 0.334, 0.000) [4 per cell]
Y (0.000, 0.500, 0.500) [2 per cell]
U (0.000, 0.167, 0.500) [4 per cell]
Se (0.236, 0.334, 0.708) [8 per cell]
Se (0.237, 0.000, 0.708) [4 per cell]

Values from the calculation:
Formation energy (no corrections)   -1401.3 meV per atom
Total energy   -70.056 eV/f.u.
Magnetic moment   0.501 μB/atom

***

Below is an optimized crystal structure of K3Y3USe8, with properties calculated at the PBE level.

a = 14.508 Å, b = 8.364 Å, c = 9.182 Å
α = 90.00°, β = 121.81°, γ = 90.00°
Space group C2/m (No. 12)
One atom of each set of equivalent atoms:
K (0.000, 0.000, 0.000) [2 per cell]
K (0.250, 0.250, 0.000) [4 per cell]
Y (0.000, 0.500, 0.500) [2 per cell]
Y (0.250, 0.250, 0.500) [4 per cell]
U (0.000, 0.000, 0.500) [2 per cell]
Se (0.016, 0.247, 0.300) [8 per cell]
Se (0.232, 0.000, 0.700) [4 per cell]
Se (0.235, 0.500, 0.705) [4 per cell]

Values from the calculation:
Formation energy (no corrections)   -1647.7 meV per atom
Total energy   -86.564 eV/f.u.
Magnetic moment   0.133 μB/atom